[1]
The following is a PBE-GGA calculation of TlBi2Rh2 after structural relaxation, from Alexandria.

Geometry as POSCAR:
```
TlBi2Rh2
1.0
-2.117 2.117 7.238
2.117 -2.117 7.238
2.117 2.117 -7.238
Tl Bi Rh
1 2 2
Direct
0.000 0.000 0.000
0.365 0.365 0.000
0.635 0.635 0.000
0.250 0.750 0.500
0.750 0.250 0.500
```

Properties
energy relative to the lowest polymorph listed for this composition = 15 meV/atom
E_form = -5.96 kJ/mol of atoms
theoretical density = 10602 kg/m³

[2]
The following is a PBE-GGA calculation of TbPm3Tl4 after structural relaxation, from Alexandria.

Geometry as POSCAR:
```
TbPm3Tl4
1.0
3.858 0.000 0.000
0.000 3.858 0.000
0.000 0.000 15.480
Tb Pm Tl
1 3 4
Direct
0.000 0.000 0.000
0.000 0.000 0.247
0.000 0.000 0.500
0.000 0.000 0.753
0.500 0.500 0.119
0.500 0.500 0.373
0.500 0.500 0.627
0.500 0.500 0.881
```

Properties
energy relative to the lowest polymorph listed for this composition = 0 meV/atom
E_form = -37.03 kJ/mol of atoms
theoretical density = 10172 kg/m³

[3]
The following is a PBE-GGA calculation of LaNd8Tm4 after structural relaxation, from Alexandria.

Geometry as POSCAR:
```
LaNd8Tm4
1.0
3.693 2.132 9.379
-3.693 2.132 9.379
0.000 -4.264 9.379
La Nd Tm
1 8 4
Direct
0.000 0.000 0.000
0.250 0.250 0.703
0.250 0.703 0.250
0.282 0.282 0.282
0.297 0.750 0.750
0.703 0.250 0.250
0.718 0.718 0.718
0.750 0.297 0.750
0.750 0.750 0.297
0.000 0.000 0.500
0.000 0.500 0.000
0.500 0.000 0.000
0.500 0.500 0.500
```

Properties
E_form = 16.33 kJ/mol of atoms
theoretical density = 7377 kg/m³

[4]
The following is a PBE-GGA calculation of Y2MnIn after structural relaxation, from Alexandria.

Geometry as POSCAR:
```
Y2MnIn
1.0
3.438 0.000 0.000
0.000 3.438 0.000
0.000 0.000 8.485
Y Mn In
2 1 1
Direct
0.000 0.000 0.000
0.500 0.500 0.336
0.500 0.500 0.778
0.000 0.000 0.596
```

Properties
E_form = -1.75 kJ/mol of atoms
theoretical density = 5755 kg/m³